Nd2GaHRh6 | GGA-PBE | optimized geometry

POSCAR file:
```
Nd2GaHRh6
1.0
4.3533 -4.3589 0.0000
4.3533 4.3589 0.0000
-4.3155 0.0000 4.3611
Nd Ga H Rh
2 1 1 6
Cartesian
4.3533 2.1957 0.0000
4.3533 -2.1957 0.0000
-2.1578 0.0000 2.1805
2.1956 0.0000 2.1805
2.1956 1.9600 2.1805
2.1949 0.0000 0.2194
0.2401 0.0000 2.1956
4.1511 0.0000 2.1655
2.1963 0.0000 4.1417
2.1956 -1.9600 2.1805
```

Calculated values
ρ ... 9.8 g/cm3
Energy ... -0.23771 hartree per atom

***

NdGa2HRu2 | GGA-PBE | optimized geometry

POSCAR file:
```
NdGa2HRu2
1.0
4.1709 0.0000 0.0000
0.0000 4.1709 0.0000
0.0000 0.0000 5.3611
Nd Ga H Ru
1 2 1 2
Cartesian
0.0000 0.0000 0.0000
2.0855 2.0855 1.2559
2.0855 2.0855 4.1052
0.0000 0.0000 2.6806
0.0000 2.0855 2.6806
2.0855 0.0000 2.6806
```

Calculated values
ρ ... 8.7 g/cm3
Energy ... -0.21607 hartree per atom

***

GaNi3H | GGA-PBE | optimized geometry

POSCAR file:
```
GaNi3H
1.0
4.8278 -4.1993 0.0000
4.8278 4.1993 0.0000
-1.3765 0.0000 4.9605
Ga Ni H
4 12 4
Cartesian
3.7954 4.1791 3.7204
4.4837 0.8487 1.2401
3.7954 -0.8487 3.7204
4.4837 -4.1791 1.2401
2.8800 2.4996 2.1369
2.1911 2.5014 4.6206
1.6046 0.0108 4.4487
2.2929 -0.0108 1.9684
5.3997 2.5014 2.8202
6.0873 2.4996 0.3434
2.1918 -2.4996 4.6171
2.8793 -2.5014 2.1403
5.9862 0.0108 2.9921
6.6744 -0.0108 0.5119
6.0880 -2.5014 0.3399
5.3990 -2.4996 2.8236
2.2150 1.2375 3.2924
2.9033 -1.2375 0.8122
5.3757 1.2375 4.1483
6.0640 -1.2375 1.6681
```

Calculated values
ρ ... 8.2 g/cm3
Energy ... -0.18041 hartree per atom
Offset from the most stable computed form ... 0.1512 eV per atom

***

GaNi3H | GGA-PBE | optimized geometry

POSCAR file:
```
GaNi3H
1.0
7.6190 -1.7721 0.0000
7.6190 1.7721 0.0000
-0.8910 0.0000 3.5847
Ga Ni H
2 6 2
Cartesian
0.7895 0.0000 1.1490
13.5576 0.0000 2.4358
2.0454 0.0000 3.3662
4.2832 0.0000 2.0254
6.5464 0.0000 0.6867
7.8006 0.0000 2.8981
10.0639 0.0000 1.5593
12.3016 0.0000 0.2185
4.7613 0.0000 0.2429
9.5857 0.0000 3.3418
```

Calculated values
ρ ... 8.5 g/cm3
Energy ... -0.18258 hartree per atom
Offset from the most stable computed form ... 0.0921 eV per atom

***

GaNi3H | GGA-PBE | optimized geometry

POSCAR file:
```
GaNi3H
1.0
4.0231 0.0000 0.0000
-2.0115 3.4841 0.0000
0.0000 0.0000 7.1818
Ga Ni H
2 6 2
Cartesian
0.0000 2.3227 1.7954
2.0115 1.1614 5.3863
0.0000 0.0000 1.7954
0.0000 0.0000 5.3863
0.0000 2.3227 4.1606
0.0000 2.3227 6.6121
2.0115 1.1614 0.5697
2.0115 1.1614 3.0212
0.0000 0.0000 0.0000
0.0000 0.0000 3.5909
```

Calculated values
ρ ... 8.1 g/cm3
Energy ... -0.17521 hartree per atom
Offset from the most stable computed form ... 0.2927 eV per atom

***

Ga2Ni6H | GGA-PBE | optimized geometry

POSCAR file:
```
Ga2Ni6H
1.0
5.1005 0.0000 0.0000
-2.5502 4.4171 0.0000
0.0000 0.0000 8.3366
Ga Ni H
4 12 2
Cartesian
0.0000 0.0000 0.0000
0.0000 0.0000 4.1683
0.0000 2.9448 2.0838
2.5502 1.4724 6.2521
-1.2577 2.2186 8.3245
0.0000 1.4740 6.2637
-1.2737 3.6801 6.2637
1.2766 0.7370 2.0954
1.2577 2.2186 8.3245
0.0000 4.3971 8.3245
2.5502 0.0201 4.1562
1.2925 2.1985 4.1562
1.2737 3.6801 6.2637
3.8239 0.7370 2.0954
2.5502 2.9431 2.0954
3.8080 2.1985 4.1562
0.0000 2.9448 5.1607
2.5502 1.4724 0.9924
```

Calculated values
ρ ... 8.7 g/cm3
Energy ... -0.19063 hartree per atom

***

GaNi3H | GGA-PBE | optimized geometry

POSCAR file:
```
GaNi3H
1.0
3.4214 1.9753 1.3422
-3.4214 1.9753 1.3422
0.0000 -3.9507 1.3422
Ga Ni H
1 3 1
Cartesian
0.0000 0.0000 0.0000
0.0000 -1.5839 2.0109
-1.3717 0.7919 2.0109
1.3717 0.7919 2.0109
0.0000 0.0000 2.1059
```

Calculated values
ρ ... 7.5 g/cm3
Energy ... -0.16912 hartree per atom
Offset from the most stable computed form ... 0.4583 eV per atom

***

Ga3Ni7H2 | GGA-PBE | optimized geometry

POSCAR file:
```
Ga3Ni7H2
1.0
1.8177 -9.2477 0.0000
1.8177 9.2477 0.0000
0.0000 0.0000 3.5962
Ga Ni H
3 7 2
Cartesian
0.0000 0.0000 0.0000
1.8177 5.6564 0.0000
1.8177 -5.6564 0.0000
1.8177 7.4012 1.7981
1.8177 3.7184 1.7981
1.8177 1.8046 0.0000
1.8177 0.0000 1.7981
1.8177 -1.8046 0.0000
1.8177 -3.7184 1.7981
1.8177 -7.4012 1.7981
1.8177 1.8300 1.7981
1.8177 -1.8300 1.7981
```

Calculated values
ρ ... 8.5 g/cm3
Energy ... -0.18384 hartree per atom

***

GaNi3H | GGA-PBE | optimized geometry

POSCAR file:
```
GaNi3H
1.0
4.3561 0.0000 0.0000
0.0000 4.3561 0.0000
0.0000 0.0000 4.3561
Ga Ni H
1 3 1
Cartesian
0.0000 0.0000 0.0000
0.0000 0.0000 2.1780
0.0000 2.1780 0.0000
2.1780 0.0000 0.0000
2.1780 2.1780 2.1780
```

Calculated values
ρ ... 5.0 g/cm3
Energy ... -0.12660 hartree per atom
Offset from the most stable computed form ... 1.6155 eV per atom

***

GaNi3H | GGA-PBE | optimized geometry

POSCAR file:
```
GaNi3H
1.0
-2.1052 2.1052 8.5357
2.1052 -2.1052 8.5357
2.1052 2.1052 -8.5357
Ga Ni H
2 6 2
Cartesian
0.0000 0.0000 0.0000
0.0000 2.1052 4.2679
0.0000 0.0000 5.9929
0.0000 1.0258 2.1635
0.0000 0.0000 11.0786
-1.0794 2.1052 6.3722
1.0794 2.1052 6.3722
0.0000 3.1846 2.1635
2.1052 0.0000 2.3883
2.1052 0.0000 6.1474
```

Calculated values
ρ ... 5.4 g/cm3
Energy ... -0.15364 hartree per atom
Offset from the most stable computed form ... 0.8795 eV per atom

***

GaNi3H | GGA-PBE | optimized geometry

POSCAR file:
```
GaNi3H
1.0
-2.5272 2.5276 3.7777
2.5272 -2.5276 3.7777
2.5272 2.5276 -3.7777
Ga Ni H
2 6 2
Cartesian
0.0000 0.0000 1.7368
0.0000 0.0000 5.8185
2.5272 0.0000 1.9045
1.2623 1.2952 0.0000
1.2649 -1.2324 3.7777
1.2623 3.7600 0.0000
1.2649 1.2324 3.7777
0.0000 2.5276 1.8732
2.5272 0.0000 0.0000
0.0000 0.0000 3.7777
```

Calculated values
ρ ... 8.5 g/cm3
Energy ... -0.18277 hartree per atom
Offset from the most stable computed form ... 0.0871 eV per atom

***

GaNi3H | GGA-PBE | optimized geometry

POSCAR file:
```
GaNi3H
1.0
6.0090 -1.7776 0.0000
6.0090 1.7776 0.0000
-0.2608 0.0000 4.9854
Ga Ni H
2 6 2
Cartesian
1.0414 0.0000 1.7844
10.7158 0.0000 3.2010
0.8858 0.0000 4.2817
3.5424 0.0000 1.8881
3.4448 0.0000 4.3924
8.3124 0.0000 0.5930
8.2148 0.0000 3.0973
10.8714 0.0000 0.7038
4.8325 0.0000 0.7303
6.9247 0.0000 4.2551
```

Calculated values
ρ ... 7.7 g/cm3
Energy ... -0.17981 hartree per atom
Offset from the most stable computed form ... 0.1675 eV per atom

***

Calculated volume per entry: 16.6 15.5 10.1 9.7 10.1 10.4 10.9 10.1 16.5 15.1 9.7 10.7 A^3/atom